No. 1
Computed, not measured: PuThSnHg after structural relaxation at the PBE-GGA level of DFT.

Values from the calculation:
Formation enthalpy at 0 K ... -0.255 eV per atom
Magnetic moment ... 1.621 μB/atom
Symmetry ... F-43m (216)
Final energy ... -6.769 eV/atom

```
PuThSnHg
1.0
0.0000 3.8204 3.8204
3.8204 0.0000 3.8204
3.8204 3.8204 0.0000
Pu Th Sn Hg
1 1 1 1
Cartesian
0.0000 0.0000 0.0000 Pu
3.8204 3.8204 3.8204 Th
5.7306 5.7306 5.7306 Sn
1.9102 1.9102 1.9102 Hg
```

---

No. 2
Computed, not measured: PuThSnHg after structural relaxation at the PBE-GGA level of DFT.

Values from the calculation:
Formation enthalpy at 0 K ... -0.271 eV per atom
Magnetic moment ... 1.513 μB/atom
Symmetry ... P4mm (99)
Final energy ... -6.785 eV/atom

```
PuThSnHg
1.0
4.0810 0.0000 0.0000
0.0000 4.0810 0.0000
0.0000 0.0000 6.5912
Pu Th Sn Hg
1 1 1 1
Cartesian
0.0000 0.0000 0.0000 Pu
0.0000 0.0000 3.4363 Th
2.0405 2.0405 5.0338 Sn
2.0405 2.0405 1.6750 Hg
```

---

No. 3
Computed, not measured: YPuSnHg after structural relaxation at the PBE-GGA level of DFT.

Values from the calculation:
Formation enthalpy at 0 K ... -0.407 eV per atom
Magnetic moment ... 1.660 μB/atom
Symmetry ... F-43m (216)
Final energy ... -6.683 eV/atom

```
YPuSnHg
1.0
0.0000 3.7697 3.7697
3.7697 0.0000 3.7697
3.7697 3.7697 0.0000
Y Pu Sn Hg
1 1 1 1
Cartesian
0.0000 0.0000 0.0000 Y
3.7697 3.7697 3.7697 Pu
1.8848 1.8848 1.8848 Sn
5.6545 5.6545 5.6545 Hg
```

---

No. 4
Computed, not measured: YPuSnHg after structural relaxation at the PBE-GGA level of DFT.

Values from the calculation:
Formation enthalpy at 0 K ... -0.394 eV per atom
Magnetic moment ... 1.521 μB/atom
Symmetry ... P4mm (99)
Final energy ... -6.669 eV/atom

```
YPuSnHg
1.0
3.7511 0.0000 0.0000
0.0000 3.7511 0.0000
0.0000 0.0000 7.5582
Y Pu Sn Hg
1 1 1 1
Cartesian
0.0000 0.0000 0.0000 Y
0.0000 0.0000 3.7736 Pu
1.8755 1.8755 1.8430 Sn
1.8755 1.8755 5.7584 Hg
```

---

Number 1: relative energy among the computed polymorphs 16 meV per atom. Number 2: relative energy among the computed polymorphs 0 meV per atom. Number 3: relative energy among the computed polymorphs 0 meV per atom. Number 4: relative energy among the computed polymorphs 14 meV per atom.